! PBE BaTcB2, relaxed; values from VASP
&SYSTEM
  ibrav = 0, nat = 4, ntyp = 3
/
ATOMIC_SPECIES
Ba 137.33 Ba.upf
Tc 98.00 Tc.upf
B 10.81 B.upf
CELL_PARAMETERS angstrom
0.0000 3.1769 3.1769
3.1769 0.0000 3.1769
3.1769 3.1769 0.0000
ATOMIC_POSITIONS angstrom
Ba 0.0000 0.0000 0.0000
Tc 1.5884 1.5884 1.5884
B 3.1769 3.1769 3.1769
B 4.7653 4.7653 4.7653
! SG: No. 216
! Raw total energy (eV/f.u.): -17.40

! PBE BaThB4, relaxed; values from VASP
&SYSTEM
  ibrav = 0, nat = 6, ntyp = 3
/
ATOMIC_SPECIES
Ba 137.33 Ba.upf
Th 232.04 Th.upf
B 10.81 B.upf
CELL_PARAMETERS angstrom
-1.5875 3.9241 3.9851
1.5875 -3.9241 3.9851
1.5875 3.9241 -3.9851
ATOMIC_POSITIONS angstrom
Ba 0.0000 0.0000 0.0000
Th 0.0000 0.0000 3.9851
B 1.5875 -1.7894 2.0476
B 1.5875 1.7894 2.0476
B 0.0000 2.1347 1.9375
B 0.0000 5.7135 1.9375
! E above lowest polymorph (eV/atom): 0.000
! SG: No. 71
! Raw total energy (eV/f.u.): -36.75

! PBE BaThB4, relaxed; values from VASP
&SYSTEM
  ibrav = 0, nat = 6, ntyp = 3
/
ATOMIC_SPECIES
Ba 137.33 Ba.upf
Th 232.04 Th.upf
B 10.81 B.upf
CELL_PARAMETERS angstrom
3.3546 0.0000 0.0000
-1.6773 2.9052 0.0000
0.0000 0.0000 8.9743
ATOMIC_POSITIONS angstrom
Ba 0.0000 0.0000 0.0000
Th 0.0000 0.0000 4.4871
B 0.0000 1.9368 2.4675
B 0.0000 1.9368 6.5068
B 1.6773 0.9684 2.4675
B 1.6773 0.9684 6.5068
! E above lowest polymorph (eV/atom): 0.092
! SG: No. 191
! Raw total energy (eV/f.u.): -36.20

! PBE BaUB, relaxed; values from VASP
&SYSTEM
  ibrav = 0, nat = 3, ntyp = 3
/
ATOMIC_SPECIES
Ba 137.33 Ba.upf
U 238.03 U.upf
B 10.81 B.upf
CELL_PARAMETERS angstrom
0.0000 3.3612 3.3612
3.3612 0.0000 3.3612
3.3612 3.3612 0.0000
ATOMIC_POSITIONS angstrom
Ba 0.0000 0.0000 0.0000
U 1.6806 1.6806 1.6806
B 5.0418 5.0418 5.0418
! E above lowest polymorph (eV/atom): 0.771
! SG: No. 216
! Raw total energy (eV/f.u.): -14.07